1.
This record from Alexandria via LeMat-Bulk describes an optimized crystal structure of Sc2TiNi. The functional is PBE-GGA.

a b c (Å): 5.938 5.938 5.938
angles (deg): 103.09 103.09 123.16
Positions (direct):
1 Sc 0.073 0.125 0.448
2 Sc 0.375 0.927 0.052
3 Sc 0.677 0.625 0.552
4 Sc 0.875 0.323 0.948
5 Ti 0.250 0.750 0.500
6 Ti 0.500 0.500 0.000
7 Ni 0.000 0.000 0.000
8 Ni 0.750 0.250 0.500

Calculated values
The total energy is -51.9 eV for the cell shown.



2.
This record from Alexandria via LeMat-Bulk describes an optimized crystal structure of Rb2ZrBrCl6. The functional is PBE-GGA.

a b c (Å): 8.206 8.206 8.206
angles (deg): 121.85 121.85 86.82
Positions (direct):
1 Rb 0.250 0.750 0.500
2 Rb 0.750 0.250 0.500
3 Zr 0.000 0.000 0.000
4 Br 0.500 0.500 0.000
5 Cl 0.209 0.209 0.000
6 Cl 0.220 0.220 0.441
7 Cl 0.220 0.780 0.000
8 Cl 0.780 0.220 0.000
9 Cl 0.780 0.780 0.559
10 Cl 0.791 0.791 0.000

Calculated values
As for the formation energy (no corrections): -1.557 eV per atom.



3.
This record from Alexandria via LeMat-Bulk describes an optimized crystal structure of RuPt2Se. The functional is PBE-GGA.

a b c (Å): 4.892 4.892 2.851
angles (deg): 90.00 90.00 112.64
Positions (direct):
1 Ru 0.000 0.000 0.000
2 Pt 0.000 0.500 0.500
3 Pt 0.500 0.000 0.500
4 Se 0.500 0.500 0.000

Calculated values
As for the formation energy (no corrections): 0.295 eV per atom.



4.
This record from Alexandria via LeMat-Bulk describes an optimized crystal structure of Sm4Sb2C. The functional is PBE-GGA.

a b c (Å): 8.781 8.781 8.781
angles (deg): 147.49 147.49 46.64
Positions (direct):
1 Sm 0.000 0.500 0.500
2 Sm 0.159 0.159 0.000
3 Sm 0.500 0.000 0.500
4 Sm 0.841 0.841 0.000
5 Sb 0.359 0.359 0.000
6 Sb 0.641 0.641 0.000
7 C 0.000 0.000 0.000

Calculated values
As for the formation energy (no corrections): -0.732 eV per atom.



5.
This record from Alexandria via LeMat-Bulk describes an optimized crystal structure of Ba3SbRu. The functional is PBE-GGA.

a b c (Å): 5.750 5.750 5.750
angles (deg): 90.00 90.00 90.00
Positions (direct):
1 Ba 0.000 0.000 0.500
2 Ba 0.000 0.500 0.000
3 Ba 0.500 0.000 0.000
4 Sb 0.500 0.500 0.500
5 Ru 0.000 0.000 0.000

Calculated values
As for the formation energy (no corrections): -0.197 eV per atom.



6.
This record from Alexandria via LeMat-Bulk describes an optimized crystal structure of CdFeAsSe2. The functional is PBE-GGA.

a b c (Å): 4.953 4.953 4.453
angles (deg): 90.00 90.00 90.00
Positions (direct):
1 Cd 0.000 0.000 0.000
2 Fe 0.500 0.500 0.500
3 As 0.500 0.500 0.000
4 Se 0.000 0.500 0.500
5 Se 0.500 0.000 0.500

Calculated values
As for the formation energy (no corrections): 0.264 eV per atom.



7.
This record from Alexandria via LeMat-Bulk describes an optimized crystal structure of Ca4MgPa3Sb8. The functional is PBE-GGA.

a b c (Å): 8.907 8.907 8.907
angles (deg): 59.84 59.84 59.84
Positions (direct):
1 Ca 0.000 0.000 0.000
2 Ca 0.000 0.500 0.500
3 Ca 0.500 0.000 0.500
4 Ca 0.500 0.500 0.000
5 Mg 0.500 0.500 0.500
6 Pa 0.000 0.000 0.500
7 Pa 0.000 0.500 0.000
8 Pa 0.500 0.000 0.000
9 Sb 0.243 0.744 0.744
10 Sb 0.246 0.246 0.246
11 Sb 0.256 0.256 0.757
12 Sb 0.256 0.757 0.256
13 Sb 0.744 0.243 0.744
14 Sb 0.744 0.744 0.243
15 Sb 0.754 0.754 0.754
16 Sb 0.757 0.256 0.256

Calculated values
As for the formation energy (no corrections): -0.693 eV per atom.



8.
This record from Alexandria via LeMat-Bulk describes an optimized crystal structure of Pm4ErSn5. The functional is PBE-GGA.

a b c (Å): 3.505 3.505 22.505
angles (deg): 90.00 90.00 90.00
Positions (direct):
1 Pm 0.000 0.000 0.101
2 Pm 0.000 0.000 0.302
3 Pm 0.000 0.000 0.698
4 Pm 0.000 0.000 0.899
5 Er 0.000 0.000 0.500
6 Sn 0.500 0.500 0.000
7 Sn 0.500 0.500 0.202
8 Sn 0.500 0.500 0.405
9 Sn 0.500 0.500 0.595
10 Sn 0.500 0.500 0.798

Calculated values
The total energy is -50.2 eV for the cell shown.



9.
This record from Alexandria via LeMat-Bulk describes an optimized crystal structure of LaNdSmZn. The functional is PBE-GGA.

a b c (Å): 3.692 3.692 8.837
angles (deg): 90.00 90.00 90.00
Positions (direct):
1 La 0.000 0.000 0.000
2 Nd 0.500 0.500 0.700
3 Sm 0.500 0.500 0.294
4 Zn 0.000 0.000 0.492

Calculated values
The total energy is -16.3 eV for the cell shown.



10.
This record from Alexandria via LeMat-Bulk describes an optimized crystal structure of NaGaAu. The functional is PBE-GGA.

a b c (Å): 4.566 4.566 3.445
angles (deg): 90.00 90.00 120.00
Positions (direct):
1 Na 0.000 0.000 0.000
2 Ga 0.667 0.333 0.500
3 Au 0.333 0.667 0.500

Calculated values
The total energy is -8.5 eV for the cell shown.



11.
This record from Alexandria via LeMat-Bulk describes an optimized crystal structure of CdSi2BrO. The functional is PBE-GGA.

a b c (Å): 5.164 5.164 3.933
angles (deg): 90.00 90.00 90.00
Positions (direct):
1 Cd 0.000 0.000 0.000
2 Si 0.000 0.500 0.500
3 Si 0.500 0.000 0.500
4 Br 0.500 0.500 0.500
5 O 0.500 0.500 0.000

Calculated values
As for the formation energy (no corrections): 0.916 eV per atom.



12.
This record from Alexandria via LeMat-Bulk describes an optimized crystal structure of KNa4Ac. The functional is PBE-GGA.

a b c (Å): 7.123 7.123 7.123
angles (deg): 60.00 60.00 60.00
Positions (direct):
1 K 0.000 0.000 0.000
2 Na 0.376 0.376 0.376
3 Na 0.376 0.376 0.873
4 Na 0.376 0.873 0.376
5 Na 0.873 0.376 0.376
6 Ac 0.750 0.750 0.750

Calculated values
The total energy is -9.3 eV for the cell shown.



The following size of the total moment values (in μB/atom) correspond, in order, to the records above: 0.198; 0.100; 0.000; 0.000; 0.000; 0.393; 0.068; 0.000; 0.000; 0.000; 0.000; 0.199.